The following is a DFT calculation (PBE) of an optimized crystal structure of GdPuSb2.

Cell lengths 7.6005, 7.6005, 7.6005 Å; angles 90.00, 90.00, 90.00 degrees
Space group Fm-3m (No. 225)
Asymmetric unit:
Gd 0.0000 0.0000 0.0000 [4 per cell]
Pu 0.0000 0.0000 0.5000 [4 per cell]
Sb 0.2500 0.2500 0.2500 [8 per cell]

Computed properties:
N(E_F): 53.274 states/eV per cell
theoretical density: 9754 kg/m3

The following is a DFT calculation (PBE) of an optimized crystal structure of GdPu2Sb.

Cell lengths 4.5807, 4.5807, 4.9621 Å; angles 90.00, 90.00, 90.00 degrees
Space group P4/mmm (No. 123)
Asymmetric unit:
Gd 0.0000 0.0000 0.0000 [1 per cell]
Pu 0.0000 0.5000 0.5000 [2 per cell]
Sb 0.5000 0.5000 0.0000 [1 per cell]

Computed properties:
N(E_F): 10.829 states/eV per cell
theoretical density: 12232 kg/m3

The following is a DFT calculation (PBE) of an optimized crystal structure of GdPuSb2.

Cell lengths 5.6955, 5.6955, 3.3313 Å; angles 90.00, 90.00, 90.00 degrees
Space group P4/mmm (No. 123)
Asymmetric unit:
Gd 0.0000 0.0000 0.0000 [1 per cell]
Pu 0.5000 0.5000 0.0000 [1 per cell]
Sb 0.0000 0.5000 0.5000 [2 per cell]

Computed properties:
N(E_F): 10.776 states/eV per cell
theoretical density: 9908 kg/m3

The following is a DFT calculation (PBE) of an optimized crystal structure of GdPuSb2.

Cell lengths 4.4361, 4.4361, 21.6285 Å; angles 90.00, 90.00, 120.00 degrees
Space group R-3m (No. 166, hexagonal axes)
Asymmetric unit:
Gd 0.0000 0.0000 0.0000 [3 per cell]
Pu 0.0000 0.0000 0.5000 [3 per cell]
Sb 0.0000 0.0000 0.2494 [6 per cell]

Computed properties:
N(E_F): 42.423 states/eV per cell
theoretical density: 8714 kg/m3

The following is a DFT calculation (PBE) of an optimized crystal structure of GdPu2Sb.

Cell lengths 3.3839, 3.3839, 36.3044 Å; angles 90.00, 90.00, 120.00 degrees
Space group R-3m (No. 166, hexagonal axes)
Asymmetric unit:
Gd 0.0000 0.0000 0.0000 [3 per cell]
Pu 0.0000 0.0000 0.4138 [6 per cell]
Sb 0.0000 0.0000 0.5000 [3 per cell]

Computed properties:
N(E_F): 47.599 states/eV per cell
theoretical density: 10613 kg/m3

The following is a DFT calculation (PBE) of an optimized crystal structure of GdPuSbTe.

Cell lengths 7.6074, 7.6074, 7.6074 Å; angles 90.00, 90.00, 90.00 degrees
Space group F-43m (No. 216)
Asymmetric unit:
Gd 0.0000 0.0000 0.0000 [4 per cell]
Pu 0.0000 0.0000 0.5000 [4 per cell]
Sb 0.2500 0.2500 0.2500 [4 per cell]
Te 0.2500 0.2500 0.7500 [4 per cell]

Computed properties:
N(E_F): 38.259 states/eV per cell
theoretical density: 9816 kg/m3

The following is a DFT calculation (PBE) of an optimized crystal structure of GdPuZnSb.

Cell lengths 7.4001, 7.4001, 7.4001 Å; angles 90.00, 90.00, 90.00 degrees
Space group F-43m (No. 216)
Asymmetric unit:
Gd 0.0000 0.0000 0.0000 [4 per cell]
Pu 0.0000 0.0000 0.5000 [4 per cell]
Zn 0.2500 0.2500 0.7500 [4 per cell]
Sb 0.2500 0.2500 0.2500 [4 per cell]

Computed properties:
N(E_F): 43.597 states/eV per cell
theoretical density: 9645 kg/m3

The following is a DFT calculation (PBE) of an optimized crystal structure of GdPuSc2.

Cell lengths 5.3587, 5.3587, 3.7224 Å; angles 90.00, 90.00, 90.00 degrees
Space group P4/mmm (No. 123)
Asymmetric unit:
Gd 0.0000 0.0000 0.0000 [1 per cell]
Pu 0.5000 0.5000 0.0000 [1 per cell]
Sc 0.0000 0.5000 0.5000 [2 per cell]

Computed properties:
N(E_F): 11.184 states/eV per cell
ΔH_f (0 K): 0.15 eV/atom
theoretical density: 7630 kg/m3

The following is a DFT calculation (PBE) of an optimized crystal structure of GdPuSc2.

Cell lengths 7.5495, 7.5495, 7.5495 Å; angles 90.00, 90.00, 90.00 degrees
Space group Fm-3m (No. 225)
Asymmetric unit:
Gd 0.0000 0.0000 0.0000 [4 per cell]
Pu 0.0000 0.0000 0.5000 [4 per cell]
Sc 0.2500 0.2500 0.2500 [8 per cell]

Computed properties:
N(E_F): 33.248 states/eV per cell
ΔH_f (0 K): 0.16 eV/atom
theoretical density: 7582 kg/m3

The following is a DFT calculation (PBE) of an optimized crystal structure of GdPuSc.

Cell lengths 5.4420, 5.4420, 3.2017 Å; angles 90.00, 90.00, 120.00 degrees
Space group P-6m2 (No. 187)
Asymmetric unit:
Gd 0.0000 0.0000 0.0000 [1 per cell]
Pu 0.3333 0.6667 0.5000 [1 per cell]
Sc 0.6667 0.3333 0.0000 [1 per cell]

Computed properties:
N(E_F): 7.614 states/eV per cell
ΔH_f (0 K): 0.18 eV/atom
theoretical density: 9023 kg/m3

The following is a DFT calculation (PBE) of an optimized crystal structure of GdPu4Sc.

Cell lengths 8.6047, 8.6047, 8.6047 Å; angles 90.00, 90.00, 90.00 degrees
Space group F-43m (No. 216)
Asymmetric unit:
Gd 0.0000 0.0000 0.0000 [4 per cell]
Pu 0.1244 0.1244 0.3756 [16 per cell]
Sc 0.2500 0.2500 0.7500 [4 per cell]

Computed properties:
N(E_F): 104.286 states/eV per cell
ΔH_f (0 K): 0.26 eV/atom
theoretical density: 12283 kg/m3

The following is a DFT calculation (PBE) of an optimized crystal structure of GdPuSc.

Cell lengths 3.1234, 3.1234, 17.7790 Å; angles 90.00, 90.00, 90.00 degrees
Space group I4mm (No. 107)
Asymmetric unit:
Gd 0.0000 0.0000 0.0000 [2 per cell]
Pu 0.0000 0.0000 0.8218 [2 per cell]
Sc 0.0000 0.0000 0.6459 [2 per cell]

Computed properties:
N(E_F): 19.854 states/eV per cell
ΔH_f (0 K): 0.49 eV/atom
theoretical density: 8544 kg/m3

The raw total energy results, record by record, are as follows: -9.8705; -12.1361; -9.9188; -10.0414; -11.4890; -9.8479; -8.8559; -10.1158; -10.1121; -11.3985; -12.6994; -11.0880 eV per atom.